NpUCrIr GGA-PBE optimized geometry; total energy = -10.77 eV per atom; DOS(E_F) = 1.7536 states/eV per atom; SG = F-43m; energy of formation from the pure elements = -0.090 eV/atom
1.0
6.453 0.000 0.000
0.000 6.453 0.000
0.000 0.000 6.453
Np U Cr Ir
4 4 4 4
direct
0.000 0.000 0.000
0.000 0.500 0.500
0.500 0.000 0.500
0.500 0.500 0.000
0.250 0.250 0.750
0.250 0.750 0.250
0.750 0.250 0.250
0.750 0.750 0.750
0.250 0.250 0.250
0.250 0.750 0.750
0.750 0.250 0.750
0.750 0.750 0.250
0.000 0.000 0.500
0.000 0.500 0.000
0.500 0.000 0.000
0.500 0.500 0.500